(1)
Entry from Alexandria: a geometry-optimized HgBi2Pd8 structure (PBE).

Structure (POSCAR):
```
HgBi2Pd8
1.0
-2.060 4.001 6.095
2.060 -4.001 6.095
2.060 4.001 -6.095
Hg Bi Pd
1 2 8
direct
0.000 0.000 0.000
0.338 0.338 0.000
0.662 0.662 0.000
0.089 0.836 0.254
0.166 0.666 0.500
0.252 0.500 0.752
0.418 0.164 0.254
0.582 0.836 0.746
0.748 0.500 0.248
0.834 0.334 0.500
0.911 0.164 0.746
```

Calculated values
N(E_F), states/eV per cell: 5.50
Space-group type: Immm (71)
V, Å³/f.u.: 201

***

(2)
Entry from Alexandria: a geometry-optimized HgBi2Pd8 structure (PBE).

Structure (POSCAR):
```
HgBi2Pd8
1.0
7.494 -2.100 0.000
7.494 2.100 0.000
-2.125 0.000 6.226
Hg Bi Pd
1 2 8
direct
0.000 0.000 0.000
0.290 0.290 0.337
0.710 0.710 0.663
0.086 0.086 0.455
0.174 0.174 0.916
0.358 0.358 0.807
0.463 0.463 0.269
0.537 0.537 0.731
0.642 0.642 0.193
0.826 0.826 0.084
0.914 0.914 0.545
```

Calculated values
N(E_F), states/eV per cell: 5.39
Space-group type: C2/m (12)
V, Å³/f.u.: 196

***

(1) has the most favorable energy; the next structure is 8 meV per atom above.

***

(1)
Entry from Alexandria: a geometry-optimized HgBi2Pd6 structure (PBE).

Structure (POSCAR):
```
HgBi2Pd6
1.0
-2.342 3.899 4.783
2.342 -3.899 4.783
2.342 3.899 -4.783
Hg Bi Pd
1 2 6
direct
0.000 0.000 0.000
0.325 0.325 0.000
0.675 0.675 0.000
0.142 0.838 0.304
0.201 0.500 0.701
0.467 0.162 0.304
0.533 0.838 0.696
0.799 0.500 0.299
0.858 0.162 0.696
```

Calculated values
N(E_F), states/eV per cell: 4.27
Space-group type: Immm (71)
V, Å³/f.u.: 175

***

(2)
Entry from Alexandria: a geometry-optimized HgBi2Pd6 structure (PBE).

Structure (POSCAR):
```
HgBi2Pd6
1.0
4.523 -2.149 0.000
4.523 2.149 0.000
-2.040 0.000 8.544
Hg Bi Pd
1 2 6
direct
0.000 0.000 0.000
0.307 0.307 0.747
0.693 0.693 0.253
0.012 0.012 0.338
0.340 0.340 0.103
0.344 0.344 0.442
0.656 0.656 0.558
0.660 0.660 0.897
0.988 0.988 0.662
```

Calculated values
N(E_F), states/eV per cell: 4.02
Space-group type: C2/m (12)
V, Å³/f.u.: 166

***

(2) has the most favorable energy; the next structure is 70 meV per atom above.

***

(1)
Entry from Alexandria: a geometry-optimized Hg2BiPd8 structure (PBE).

Structure (POSCAR):
```
Hg2BiPd8
1.0
-2.051 3.956 6.143
2.051 -3.956 6.143
2.051 3.956 -6.143
Hg Bi Pd
2 1 8
direct
0.153 0.153 0.000
0.847 0.847 0.000
0.500 0.500 0.000
0.086 0.331 0.755
0.259 0.000 0.259
0.324 0.824 0.500
0.423 0.669 0.755
0.577 0.331 0.245
0.676 0.176 0.500
0.741 0.000 0.741
0.914 0.669 0.245
```

Calculated values
N(E_F), states/eV per cell: 9.45
Space-group type: Immm (71)
V, Å³/f.u.: 199

***

(2)
Entry from Alexandria: a geometry-optimized Hg2BiPd8 structure (PBE).

Structure (POSCAR):
```
Hg2BiPd8
1.0
7.315 -2.089 0.000
7.315 2.089 0.000
-1.626 0.000 6.168
Hg Bi Pd
2 1 8
direct
0.222 0.222 0.147
0.778 0.778 0.853
0.500 0.500 0.500
0.041 0.041 0.224
0.142 0.142 0.687
0.321 0.321 0.588
0.410 0.410 0.042
0.590 0.590 0.958
0.679 0.679 0.412
0.858 0.858 0.313
0.959 0.959 0.776
```

Calculated values
N(E_F), states/eV per cell: 5.60
Space-group type: C2/m (12)
V, Å³/f.u.: 188

***

(2) has the most favorable energy; the next structure is 49 meV per atom above.